No. 1
DFT (PBE) results for a geometry-optimized Ac2Ge2BOs2 structure.

Cell: 11.8360 4.4105 7.5931 Å, 90.00 129.70 90.00°
Space group C2/m (No. 12)
Symmetry-distinct sites (fractional):
1 Ac 0.0602 0.0000 0.3019
2 Ge 0.1797 0.5000 0.7406
3 B 0.0000 0.5000 0.0000
4 Os 0.1990 0.5000 0.0899

Computed properties:
As for the size of the total moment: 0.000 μB per formula unit. The value obtained for the uncorrected energy is -7.1828 eV/atom. As for the density of states at the Fermi level: 5.73 states/eV per cell. The calculation puts the formation enthalpy at 0 K at -0.5273 eV per atom.



No. 2
DFT (PBE) results for a geometry-optimized AcGe2BOs2 structure.

Cell: 4.2577 4.2577 5.8173 Å, 90.00 90.00 90.00°
Space group P4/mmm (No. 123)
Symmetry-distinct sites (fractional):
1 Ac 0.0000 0.0000 0.0000
2 Ge 0.5000 0.5000 0.2362
3 B 0.0000 0.0000 0.5000
4 Os 0.0000 0.5000 0.5000

Computed properties:
As for the size of the total moment: 0.000 μB per formula unit. The value obtained for the uncorrected energy is -7.3994 eV/atom. As for the density of states at the Fermi level: 3.71 states/eV per cell. The calculation puts the formation enthalpy at 0 K at -0.3194 eV per atom.



Which formula does entry 1 have?
Ac2Ge2BOs2



Which value of size of the total moment does entry 2 give?
0.000 μB per formula unit